SrAg2PtC | PBE | optimized geometry

Values from the calculation:
energy relative to the elements = 565 meV per atom

Geometry as CIF:
```
data_SrAg2PtC
_chemical_formula_sum 'Sr1 Ag2 Pt1 C1'
_space_group_name_H-M_alt 'P 4/m m m'
_space_group_IT_number 123
_space_group_name_Hall '-P 4 2'
_cell_length_a 4.309
_cell_length_b 4.309
_cell_length_c 5.243
_cell_angle_alpha 90.00
_cell_angle_beta 90.00
_cell_angle_gamma 90.00
loop_
_atom_site_label
_atom_site_fract_x
_atom_site_fract_y
_atom_site_fract_z
Sr1 0.000 0.000 0.000
Ag1 0.000 0.500 0.500
Pt1 0.500 0.500 0.000
C1 0.000 0.000 0.500
```

***

Pu2AgC | PBE | optimized geometry

Values from the calculation:
energy relative to the elements = 38 meV per atom

Geometry as CIF:
```
data_Pu2AgC
_chemical_formula_sum 'Pu6 Ag3 C3'
_space_group_name_H-M_alt 'R 3 m'
_space_group_IT_number 160
_space_group_name_Hall 'R 3 -2"'
_cell_length_a 3.3669
_cell_length_b 3.3669
_cell_length_c 24.6898
_cell_angle_alpha 90.00
_cell_angle_beta 90.00
_cell_angle_gamma 120.00
loop_
_atom_site_label
_atom_site_fract_x
_atom_site_fract_y
_atom_site_fract_z
Pu1 0.0000 0.0000 0.0000
Pu2 0.0000 0.0000 0.2146
Ag1 0.0000 0.0000 0.4410
C1 0.0000 0.0000 0.6074
```

***

Pu2AgC | PBE | optimized geometry

Values from the calculation:
energy relative to the elements = 174 meV per atom

Geometry as CIF:
```
data_Pu2AgC
_chemical_formula_sum 'Pu6 Ag3 C3'
_space_group_name_H-M_alt 'R -3 m'
_space_group_IT_number 166
_space_group_name_Hall '-R 3 2"'
_cell_length_a 3.2595
_cell_length_b 3.2595
_cell_length_c 27.7328
_cell_angle_alpha 90.00
_cell_angle_beta 90.00
_cell_angle_gamma 120.00
loop_
_atom_site_label
_atom_site_fract_x
_atom_site_fract_y
_atom_site_fract_z
Pu1 0.0000 0.0000 0.1132
Ag1 0.0000 0.0000 0.0000
C1 0.0000 0.0000 0.5000
```

***

Pu2AgC | PBE | optimized geometry

Values from the calculation:
energy relative to the elements = 104 meV per atom

Geometry as CIF:
```
data_Pu2AgC
_chemical_formula_sum 'Pu2 Ag1 C1'
_space_group_name_H-M_alt 'P 4/m m m'
_space_group_IT_number 123
_space_group_name_Hall '-P 4 2'
_cell_length_a 3.121
_cell_length_b 3.121
_cell_length_c 7.663
_cell_angle_alpha 90.00
_cell_angle_beta 90.00
_cell_angle_gamma 90.00
loop_
_atom_site_label
_atom_site_fract_x
_atom_site_fract_y
_atom_site_fract_z
Pu1 0.000 0.000 0.182
Ag1 0.500 0.500 0.500
C1 0.500 0.500 0.000
```